Record 1
Below is crystalline Ba6TePt2I3 at its relaxed geometry, with properties calculated at the GGA-PBE level.

Results
As for the final energy: -46.98 eV/cell. As for the volume: 512 Å³ per cell. The calculation puts the magnetization at 0.0 μB per cell. As for the density of states at the Fermi level: 6.6 states/eV/cell.

POSCAR file:
```
Ba6TePt2I3
1.0
4.7387 0.0000 0.0000
0.0000 10.3480 -0.0066
-2.3693 -3.3691 10.4371
Ba Te Pt I
6 1 2 3
Direct
0.3312 0.8713 0.6625 Ba
0.6801 0.5572 0.3601 Ba
0.6688 0.1287 0.3375 Ba
0.0205 0.2509 0.0409 Ba
0.9795 0.7491 0.9591 Ba
0.3199 0.4428 0.6399 Ba
0.5000 0.0000 0.0000 Te
0.8310 0.6626 0.6619 Pt
0.1690 0.3374 0.3381 Pt
0.5000 0.5000 0.0000 I
0.8414 0.1610 0.6827 I
0.1586 0.8390 0.3173 I
```



Record 2
Below is crystalline CaTlInBi at its relaxed geometry, with properties calculated at the GGA-PBE level.

Results
As for the volume: 121 Å³ per cell. The value obtained for the energy relative to the elements is -0.2598 eV per atom. The calculation puts the magnetization at 0.0 μB per cell. As for the density of states at the Fermi level: 2.0 states/eV/cell. The value obtained for the excess energy over the best structure of this formula in the dataset is 0.113 eV/atom.

POSCAR file:
```
CaTlInBi
1.0
5.5530 0.0000 0.0000
2.7765 4.8091 0.0000
2.7765 1.6030 4.5340
Tl Ca Bi In
1 1 1 1
Direct
0.0000 0.0000 0.0000 Tl
0.7500 0.7500 0.7500 Ca
0.5000 0.5000 0.5000 Bi
0.2500 0.2500 0.2500 In
```



Record 3
Below is crystalline Pm4ErTm5 at its relaxed geometry, with properties calculated at the GGA-PBE level.

Results
As for the volume: 332 Å³ per cell. The value obtained for the energy relative to the elements is 0.1956 eV per atom. The calculation puts the magnetization at 0.0 μB per cell. As for the density of states at the Fermi level: 13.2 states/eV/cell. The value obtained for the excess energy over the best structure of this formula in the dataset is 0.000 eV/atom.

POSCAR file:
```
Pm4ErTm5
1.0
-0.4565 -3.3388 -0.9477
5.4292 -3.3415 9.1610
-7.1208 1.4501 4.7409
Pm Er Tm
4 1 5
Direct
0.6546 0.2499 0.3143 Pm
0.9682 0.2503 0.9366 Pm
0.3454 0.7501 0.6857 Pm
0.0318 0.7497 0.0634 Pm
0.5000 0.0000 0.0000 Er
0.1725 0.5490 0.3464 Tm
0.1727 0.9504 0.3468 Tm
0.8273 0.0496 0.6532 Tm
0.5000 0.5000 0.0000 Tm
0.8275 0.4510 0.6536 Tm
```



Record 4
Below is crystalline Pm2PrDy2Y at its relaxed geometry, with properties calculated at the GGA-PBE level.

Results
As for the volume: 398 Å³ per cell. The value obtained for the energy relative to the elements is 0.0582 eV per atom. The calculation puts the magnetization at 0.0 μB per cell. As for the density of states at the Fermi level: 18.4 states/eV/cell.

POSCAR file:
```
Pm2PrDy2Y
1.0
5.6862 0.0000 0.0000
0.0000 9.9052 0.0000
0.0000 0.0000 7.0731
Pm Pr Dy Y
4 2 4 2
Direct
0.5000 0.8332 0.2518 Pm
0.5000 0.1668 0.7482 Pm
0.0000 0.6668 0.7518 Pm
0.0000 0.3332 0.2482 Pm
0.0000 0.0000 0.0000 Pr
0.5000 0.5000 0.5000 Pr
0.5000 0.1666 0.2506 Dy
0.0000 0.6666 0.2494 Dy
0.5000 0.8334 0.7494 Dy
0.0000 0.3334 0.7506 Dy
0.5000 0.5000 0.0000 Y
0.0000 0.0000 0.5000 Y
```



Record 5
Below is crystalline SiPb3 at its relaxed geometry, with properties calculated at the GGA-PBE level.

Results
As for the volume: 112 Å³ per cell. The calculation puts the magnetization at 0.0 μB per cell. As for the density of states at the Fermi level: 1.5 states/eV/cell. The value obtained for the excess energy over the best structure of this formula in the dataset is 0.070 eV/atom.

POSCAR file:
```
SiPb3
1.0
5.8895 0.0168 0.0000
-1.9138 5.5699 0.0000
0.0000 0.0000 3.4180
Pb Si
3 1
Direct
0.0000 0.5000 0.5000 Pb
0.5000 0.0000 0.5000 Pb
0.5000 0.5000 0.0000 Pb
0.0000 0.0000 0.0000 Si
```



Record 6
Below is crystalline Cs2PuOF5 at its relaxed geometry, with properties calculated at the GGA-PBE level.

Results
As for the final energy: -57.39 eV/cell. As for the volume: 217 Å³ per cell. The calculation puts the magnetization at 3.0 μB per cell. As for the density of states at the Fermi level: 6.7 states/eV/cell.

POSCAR file:
```
Cs2PuOF5
1.0
-2.1802 3.3544 5.3504
-2.2767 -6.2081 -0.9531
6.4055 -1.8939 -0.1199
Cs Pu O F
2 1 1 5
Direct
0.5000 0.2493 0.7493 Cs
0.5000 0.7493 0.2493 Cs
0.0000 0.9941 0.9941 Pu
0.0000 0.7906 0.7906 O
0.4464 0.2220 0.2220 F
0.5536 0.7756 0.7756 F
0.0000 0.7756 0.2220 F
0.0000 0.2220 0.7756 F
0.0000 0.2217 0.2217 F
```



Record 7
Below is crystalline Hg2PCl at its relaxed geometry, with properties calculated at the GGA-PBE level.

Results
As for the volume: 95 Å³ per cell. The calculation puts the magnetization at 0.0 μB per cell. As for the density of states at the Fermi level: 1.5 states/eV/cell. The value obtained for the excess energy over the best structure of this formula in the dataset is 0.281 eV/atom.

POSCAR file:
```
Hg2PCl
1.0
-3.6533 -4.5772 4.0311
-4.3928 -5.5874 0.1791
-0.9507 -6.7684 1.9576
Cl Hg P
1 2 1
Direct
0.7500 0.7500 0.7500 Cl
0.9851 0.9851 0.9851 Hg
0.5149 0.5149 0.5149 Hg
0.2500 0.2500 0.2500 P
```



Record 8
Below is crystalline SrTa2Pb at its relaxed geometry, with properties calculated at the GGA-PBE level.

Results
As for the volume: 93 Å³ per cell. The value obtained for the energy relative to the elements is 0.7781 eV per atom. The calculation puts the magnetization at 0.0 μB per cell. As for the density of states at the Fermi level: 5.4 states/eV/cell.

POSCAR file:
```
SrTa2Pb
1.0
-4.7234 0.9115 -1.6708
-1.9102 -2.8369 3.7731
3.1367 3.8731 1.0458
Pb Sr Ta
1 1 2
Direct
0.5000 0.5000 0.0000 Pb
0.7500 0.2500 0.5000 Sr
0.0000 0.0000 0.0000 Ta
0.2500 0.7500 0.5000 Ta
```



Record 9
Below is crystalline Li2BeH6Rh at its relaxed geometry, with properties calculated at the GGA-PBE level.

Results
As for the final energy: -74.96 eV/cell. As for the volume: 157 Å³ per cell. The calculation puts the magnetization at 0.0 μB per cell. As for the density of states at the Fermi level: 2.0 states/eV/cell.

POSCAR file:
```
Li2BeH6Rh
1.0
4.6885 0.0000 0.0000
2.3443 4.0604 0.0000
2.3443 1.3535 8.2214
Li Be H Rh
4 2 12 2
Direct
0.8749 0.8749 0.3754 Li
0.1251 0.1251 0.6246 Li
0.6928 0.6928 0.9215 Li
0.3072 0.3072 0.0785 Li
0.5907 0.5907 0.2280 Be
0.4093 0.4093 0.7720 Be
0.8675 0.3793 0.3740 H
0.3793 0.8675 0.3740 H
0.3793 0.3793 0.3740 H
0.1325 0.6207 0.6260 H
0.6207 0.1325 0.6260 H
0.6207 0.6207 0.6260 H
0.6907 0.2152 0.8788 H
0.2152 0.6907 0.8788 H
0.2152 0.2152 0.8788 H
0.3093 0.7848 0.1212 H
0.7848 0.3093 0.1212 H
0.7848 0.7848 0.1212 H
0.0000 0.0000 0.0000 Rh
0.5000 0.5000 0.5000 Rh
```



Record 10
Below is crystalline Er4Te2PPt at its relaxed geometry, with properties calculated at the GGA-PBE level.

Results
As for the final energy: -46.83 eV/cell. As for the volume: 209 Å³ per cell. The calculation puts the magnetization at 0.0 μB per cell. As for the density of states at the Fermi level: 4.4 states/eV/cell.

POSCAR file:
```
Er4Te2PPt
1.0
-0.9518 -3.9685 0.3456
1.2634 0.3232 7.1916
-7.0823 1.5918 -1.2273
Er Te P Pt
4 2 1 1
Direct
0.5000 0.2337 0.2125 Er
0.5000 0.7663 0.7875 Er
0.0000 0.2652 0.7933 Er
0.0000 0.7348 0.2067 Er
0.5000 0.0000 0.5000 Te
0.0000 0.5000 0.5000 Te
0.0000 0.0000 0.0000 P
0.5000 0.5000 0.0000 Pt
```



Record 11
Below is crystalline NdSb3Pd6 at its relaxed geometry, with properties calculated at the GGA-PBE level.

Results
As for the final energy: -53.16 eV/cell. As for the volume: 215 Å³ per cell. The calculation puts the magnetization at 0.0 μB per cell. As for the density of states at the Fermi level: 4.5 states/eV/cell.

POSCAR file:
```
NdSb3Pd6
1.0
1.6835 -3.8841 -5.7679
-4.0881 -1.9286 5.6237
-3.8434 5.0318 -0.9253
Nd Sb Pd
1 3 6
Direct
0.7732 0.8920 0.7265 Nd
0.7522 0.3835 0.1583 Sb
0.2388 0.5880 0.8576 Sb
0.2119 0.0853 0.3268 Sb
0.3014 0.3010 0.7355 Pd
0.2650 0.7572 0.2501 Pd
0.7706 0.0279 0.2439 Pd
0.4065 0.9763 0.7297 Pd
0.7652 0.4684 0.7200 Pd
0.5153 0.5203 0.2515 Pd
```



Record 12
Below is crystalline Ce2Tl4Cd at its relaxed geometry, with properties calculated at the GGA-PBE level.

Results
As for the volume: 222 Å³ per cell. The value obtained for the energy relative to the elements is 0.0705 eV per atom. The calculation puts the magnetization at 2.3 μB per cell. As for the density of states at the Fermi level: 15.7 states/eV/cell.

POSCAR file:
```
Ce2Tl4Cd
1.0
5.7954 0.0000 0.0000
0.0000 5.7954 0.0000
-2.8977 -2.8977 6.6029
Ce Tl Cd
2 4 1
Direct
0.6357 0.6357 0.2714 Ce
0.3643 0.3643 0.7286 Ce
0.7500 0.2500 0.5000 Tl
0.2500 0.7500 0.5000 Tl
0.5000 0.0000 0.0000 Tl
0.0000 0.5000 0.0000 Tl
0.0000 0.0000 0.0000 Cd
```



Record 13
Below is crystalline BaAcZnNi at its relaxed geometry, with properties calculated at the GGA-PBE level.

Results
As for the volume: 116 Å³ per cell. The value obtained for the energy relative to the elements is 0.0013 eV per atom. The calculation puts the magnetization at 0.0 μB per cell. As for the density of states at the Fermi level: 4.5 states/eV/cell. The value obtained for the excess energy over the best structure of this formula in the dataset is 0.188 eV/atom.

POSCAR file:
```
BaAcZnNi
1.0
5.4664 0.0000 0.0000
2.7332 4.7340 0.0000
2.7332 1.5780 4.4633
Zn Ac Ba Ni
1 1 1 1
Direct
0.7500 0.7500 0.7500 Zn
0.0000 0.0000 0.0000 Ac
0.5000 0.5000 0.5000 Ba
0.2500 0.2500 0.2500 Ni
```



Record 14
Below is crystalline Fe2SnH2 at its relaxed geometry, with properties calculated at the GGA-PBE level.

Results
As for the final energy: -26.95 eV/cell. As for the volume: 49 Å³ per cell. The calculation puts the magnetization at 3.9 μB per cell. As for the density of states at the Fermi level: 1.3 states/eV/cell.

POSCAR file:
```
Fe2SnH2
1.0
3.0394 0.0000 0.0000
0.0000 3.0394 0.0000
1.5197 1.5197 5.3395
H Sn Fe
2 1 2
Direct
0.7500 0.2500 0.5000 H
0.2500 0.7500 0.5000 H
0.0000 0.0000 0.0000 Sn
0.3307 0.3307 0.3386 Fe
0.6693 0.6693 0.6614 Fe
```



Record 15
Below is crystalline Ga2AuSe4 at its relaxed geometry, with properties calculated at the GGA-PBE level.

Results
As for the final energy: -25.92 eV/cell. As for the volume: 181 Å³ per cell. The calculation puts the magnetization at 0.0 μB per cell. As for the density of states at the Fermi level: 5.2 states/eV/cell.

POSCAR file:
```
Ga2AuSe4
1.0
5.3899 0.0000 0.0000
0.0000 5.3899 0.0000
0.0000 0.0000 6.2476
Ga Au Se
2 1 4
Direct
0.5000 0.0000 0.5000 Ga
0.0000 0.5000 0.5000 Ga
0.0000 0.0000 0.0000 Au
0.7282 0.2718 0.7457 Se
0.2718 0.2718 0.2543 Se
0.2718 0.7282 0.7457 Se
0.7282 0.7282 0.2543 Se
```



Record 16
Below is crystalline MnAgCl2 at its relaxed geometry, with properties calculated at the GGA-PBE level.

Results
As for the volume: 86 Å³ per cell. The calculation puts the magnetization at 4.4 μB per cell. As for the density of states at the Fermi level: 1.0 states/eV/cell. The value obtained for the excess energy over the best structure of this formula in the dataset is 0.211 eV/atom.

POSCAR file:
```
MnAgCl2
1.0
-1.0562 -3.1343 0.1814
0.4339 -0.3352 -3.2667
7.3177 -2.3954 1.2178
Mn Ag Cl
1 1 2
Direct
0.0000 0.0000 0.5085 Mn
0.5000 0.5000 0.7363 Ag
0.0000 0.0000 0.9175 Cl
0.5000 0.5000 0.3377 Cl
```



Record 17
Below is crystalline RbAcHg17 at its relaxed geometry, with properties calculated at the GGA-PBE level.

Results
As for the volume: 542 Å³ per cell. The value obtained for the energy relative to the elements is -0.1321 eV per atom. The calculation puts the magnetization at 0.0 μB per cell. As for the density of states at the Fermi level: 7.5 states/eV/cell.

POSCAR file:
```
RbAcHg17
1.0
8.2279 0.4713 1.4980
1.3316 8.1331 1.4980
0.5236 0.4713 8.3467
Rb Ac Hg
1 1 17
Direct
0.6463 0.6463 0.6463 Rb
0.3212 0.3212 0.3212 Ac
0.3016 0.0027 0.6994 Hg
0.6994 0.3016 0.0027 Hg
0.0027 0.6994 0.3016 Hg
0.3016 0.6994 0.0027 Hg
0.0027 0.3016 0.6994 Hg
0.6994 0.0027 0.3016 Hg
0.3483 0.8990 0.3483 Hg
0.3483 0.3483 0.8990 Hg
0.8990 0.3483 0.3483 Hg
0.5958 0.2197 0.5958 Hg
0.5958 0.5958 0.2197 Hg
0.2197 0.5958 0.5958 Hg
0.9467 0.5685 0.9467 Hg
0.9467 0.9467 0.5685 Hg
0.5685 0.9467 0.9467 Hg
0.9413 0.9413 0.9413 Hg
0.1148 0.1148 0.1148 Hg
```



Record 18
Below is crystalline BaNbP3 at its relaxed geometry, with properties calculated at the GGA-PBE level.

Results
As for the volume: 120 Å³ per cell. The value obtained for the energy relative to the elements is -0.5136 eV per atom. The calculation puts the magnetization at 0.0 μB per cell. As for the density of states at the Fermi level: 5.0 states/eV/cell. The value obtained for the excess energy over the best structure of this formula in the dataset is 0.000 eV/atom.

POSCAR file:
```
BaNbP3
1.0
-3.7569 -1.3350 2.9080
0.7131 -4.7214 -1.2462
3.1193 -0.5285 3.7873
P Nb Ba
3 1 1
Direct
0.0000 0.5000 0.0000 P
0.0000 0.0000 0.5000 P
0.5000 0.0000 0.0000 P
0.0000 0.0000 0.0000 Nb
0.5000 0.5000 0.5000 Ba
```



Record 19
Below is crystalline Cd2InCo2 at its relaxed geometry, with properties calculated at the GGA-PBE level.

Results
As for the volume: 173 Å³ per cell. The value obtained for the energy relative to the elements is 0.2056 eV per atom. The calculation puts the magnetization at 0.0 μB per cell. As for the density of states at the Fermi level: 3.7 states/eV/cell. The value obtained for the excess energy over the best structure of this formula in the dataset is 0.000 eV/atom.

POSCAR file:
```
Cd2InCo2
1.0
6.4412 0.0000 0.0000
0.0000 6.4412 0.0000
0.0000 0.0000 4.1602
Cd Co In
4 4 2
Direct
0.1664 0.6664 0.5000 Cd
0.6664 0.8336 0.5000 Cd
0.8336 0.3336 0.5000 Cd
0.3336 0.1664 0.5000 Cd
0.3753 0.8753 0.0000 Co
0.8753 0.6247 0.0000 Co
0.6247 0.1247 0.0000 Co
0.1247 0.3753 0.0000 Co
0.0000 0.0000 0.0000 In
0.5000 0.5000 0.0000 In
```



Record 20
Below is crystalline NaH2I2 at its relaxed geometry, with properties calculated at the GGA-PBE level.

Results
As for the volume: 303 Å³ per cell. The calculation puts the magnetization at 0.0 μB per cell. As for the density of states at the Fermi level: 0.9 states/eV/cell. The value obtained for the excess energy over the best structure of this formula in the dataset is 0.303 eV/atom.

POSCAR file:
```
NaH2I2
1.0
8.5861 0.0000 0.0000
0.0000 8.5861 0.0000
0.0000 0.0000 4.1114
I Na H
4 2 4
Direct
0.3172 0.8172 0.0000 I
0.8172 0.6828 0.0000 I
0.6828 0.1828 0.0000 I
0.1828 0.3172 0.0000 I
0.0000 0.0000 0.0000 Na
0.5000 0.5000 0.0000 Na
0.3163 0.8163 0.5000 H
0.8163 0.6837 0.5000 H
0.6837 0.1837 0.5000 H
0.1837 0.3163 0.5000 H
```